A geometry-optimized TcRu2W structure. Source: Alexandria, functional PBE-GGA.

Results
The value obtained for the formation energy is 26.5 kJ/mol of atoms. The magnetization comes out at 0.0 μB per formula unit. As for the crystal system: tetragonal. For the polymorph energy (0 for the lowest one), the calculation gives 260.6 meV/atom. The space group is P4mm.

a = 3.216 Å, b = 3.216 Å, c = 5.806 Å
α = 90.00°, β = 90.00°, γ = 90.00°
Fractional positions:
Tc  0.000  0.000  0.000
Ru  0.000  0.000  0.514
Ru  0.500  0.500  0.801
W  0.500  0.500  0.279